Below is SiAsW2 after structural relaxation, with properties calculated at the PBE-GGA level.

Geometry as POSCAR:
```
SiAsW2
1.0
2.854 -0.010 0.000
-0.999 2.674 0.000
0.000 0.000 8.162
As Si W
1 1 2
direct
0.500 0.500 0.250 As
0.500 0.500 0.750 Si
0.000 0.000 0.988 W
0.000 0.000 0.512 W
```

Summary:
energy relative to the elements, uncorrected = 0.44 eV/atom
calculated total energy = -8.55 eV per atom
theoretical density = 12.56 g cm⁻³
energy above the most stable polymorph in this dataset = 49.6 kJ/mol of atoms

---

Below is Si2AsW after structural relaxation, with properties calculated at the PBE-GGA level.

Geometry as POSCAR:
```
Si2AsW
1.0
-1.891 1.849 -1.867
-0.959 -2.628 -1.631
-4.461 -0.728 3.797
Si As W
2 1 1
direct
0.000 0.000 0.033 Si
0.000 0.000 0.467 Si
0.500 0.500 0.750 As
0.500 0.500 0.250 W
```

Summary:
energy relative to the elements, uncorrected = 0.27 eV/atom
calculated total energy = -6.84 eV per atom
theoretical density = 8.45 g cm⁻³

---

Below is Si2AsW after structural relaxation, with properties calculated at the PBE-GGA level.

Geometry as POSCAR:
```
Si2AsW
1.0
5.782 0.000 0.000
0.000 5.782 0.000
2.891 2.891 5.343
Si As W
4 2 2
direct
0.123 0.625 0.250 Si
0.375 0.373 0.750 Si
0.627 0.125 0.250 Si
0.875 0.877 0.750 Si
0.500 0.500 0.000 As
0.250 0.750 0.500 As
0.000 0.000 0.000 W
0.750 0.250 0.500 W
```

Summary:
energy relative to the elements, uncorrected = 0.77 eV/atom
calculated total energy = -6.35 eV per atom
theoretical density = 5.85 g cm⁻³

---

- energy relative to the elements, uncorrected of number 2 (Si2AsW)?
  0.27 eV/atom

---

Please write out number 3 again, unchanged.
Below is Si2AsW after structural relaxation, with properties calculated at the PBE-GGA level.

Geometry as POSCAR:
```
Si2AsW
1.0
5.782 0.000 0.000
0.000 5.782 0.000
2.891 2.891 5.343
Si As W
4 2 2
direct
0.123 0.625 0.250 Si
0.375 0.373 0.750 Si
0.627 0.125 0.250 Si
0.875 0.877 0.750 Si
0.500 0.500 0.000 As
0.250 0.750 0.500 As
0.000 0.000 0.000 W
0.750 0.250 0.500 W
```

Summary:
energy relative to the elements, uncorrected = 0.77 eV/atom
calculated total energy = -6.35 eV per atom
theoretical density = 5.85 g cm⁻³

---

- Which value of theoretical density does entry 2 give?
  8.45 g cm⁻³